CaEuNiHg: optimized geometry, GGA-PBE.

Crystal system: cubic
Calculated formation energy (meV/atom): -209

Lattice parameters (Å, degrees): 7.356 7.356 7.356 90.00 90.00 90.00
Space group F-43m (No. 216)
One atom of each set of equivalent atoms:
Ca 0.000 0.000 0.000 x4
Eu 0.000 0.000 0.500 x4
Ni 0.250 0.250 0.750 x4
Hg 0.250 0.250 0.250 x4